# 1
First-principles (PBE-GGA) data for a relaxed structure of Cd2SnS4, as listed in Alexandria via LeMat-Bulk.

Computed properties:
relative energy among the computed polymorphs	209	meV/atom
electronic total energy	-3.466	eV per atom
E_form (uncorrected)	-0.27	eV/atom
mass density	5.1	g cm⁻³
symmetry	Cmcm (63)
volume	305	Å³/cell

a b c (Å): 6.702 6.702 12.938
angles (deg): 90.00 90.00 148.37
Fractional positions:
Cd  0.128  0.872  0.568
Cd  0.128  0.872  0.932
Cd  0.872  0.128  0.068
Cd  0.872  0.128  0.432
Sn  0.375  0.625  0.750
Sn  0.625  0.375  0.250
S  0.021  0.979  0.750
S  0.221  0.779  0.122
S  0.221  0.779  0.378
S  0.500  0.500  0.000
S  0.500  0.500  0.500
S  0.779  0.221  0.622
S  0.779  0.221  0.878
S  0.979  0.021  0.250

---

# 2
First-principles (PBE-GGA) data for a relaxed structure of CdSnS, as listed in Alexandria via LeMat-Bulk.

Computed properties:
relative energy among the computed polymorphs	131	meV/atom
electronic total energy	-3.202	eV per atom
E_form (uncorrected)	-0.19	eV/atom
mass density	5.5	g cm⁻³
symmetry	P2 (3)
volume	79	Å³/cell

a b c (Å): 3.695 5.312 4.038
angles (deg): 90.00 94.71 90.00
Fractional positions:
Cd  0.000  0.000  0.000
Sn  0.500  0.311  0.500
S  0.000  0.669  0.500

---

# 3
First-principles (PBE-GGA) data for a relaxed structure of CdSnS4, as listed in Alexandria via LeMat-Bulk.

Computed properties:
electronic total energy	-3.642	eV per atom
E_form (uncorrected)	-0.07	eV/atom
mass density	4.5	g cm⁻³
symmetry	P2/m (10)
volume	132	Å³/cell

a b c (Å): 5.325 3.739 6.824
angles (deg): 90.00 102.87 90.00
Fractional positions:
Cd  0.000  0.000  0.000
Sn  0.000  0.500  0.500
S  0.275  0.500  0.233
S  0.278  0.000  0.713
S  0.722  0.000  0.287
S  0.725  0.500  0.767

---

# 4
First-principles (PBE-GGA) data for a relaxed structure of CdSnS2, as listed in Alexandria via LeMat-Bulk.

Computed properties:
electronic total energy	-3.681	eV per atom
E_form (uncorrected)	-0.39	eV/atom
mass density	4.1	g cm⁻³
symmetry	R3m (160)
volume	360	Å³/cell

a b c (Å): 4.169 4.169 23.914
angles (deg): 90.00 90.00 120.00
Fractional positions:
Cd  0.000  0.000  0.000
Cd  0.333  0.667  0.667
Cd  0.667  0.333  0.333
Sn  0.000  0.000  0.501
Sn  0.333  0.667  0.167
Sn  0.667  0.333  0.834
S  0.000  0.000  0.112
S  0.000  0.000  0.634
S  0.333  0.667  0.300
S  0.333  0.667  0.779
S  0.667  0.333  0.446
S  0.667  0.333  0.967

---

# 5
First-principles (PBE-GGA) data for a relaxed structure of Cd3Sn5S12, as listed in Alexandria via LeMat-Bulk.

Computed properties:
electronic total energy	-3.886	eV per atom
E_form (uncorrected)	-0.27	eV/atom
mass density	4.4	g cm⁻³
symmetry	Ia-3d (230)
volume	1992	Å³/cell

a b c (Å): 13.730 13.730 13.730
angles (deg): 109.47 109.47 109.47
Fractional positions:
Cd  0.125  0.250  0.375
Cd  0.125  0.375  0.750
Cd  0.250  0.375  0.125
Cd  0.250  0.875  0.625
Cd  0.375  0.125  0.250
Cd  0.375  0.750  0.125
Cd  0.625  0.250  0.875
Cd  0.625  0.875  0.750
Cd  0.750  0.125  0.375
Cd  0.750  0.625  0.875
Cd  0.875  0.625  0.250
Cd  0.875  0.750  0.625
Sn  0.000  0.000  0.000
Sn  0.000  0.000  0.500
Sn  0.000  0.500  0.000
Sn  0.000  0.500  0.500
Sn  0.125  0.750  0.875
Sn  0.125  0.875  0.250
Sn  0.250  0.125  0.875
Sn  0.250  0.625  0.375
Sn  0.375  0.250  0.625
Sn  0.375  0.625  0.750
Sn  0.500  0.000  0.000
Sn  0.500  0.000  0.500
Sn  0.500  0.500  0.000
Sn  0.500  0.500  0.500
Sn  0.625  0.375  0.250
Sn  0.625  0.750  0.375
Sn  0.750  0.375  0.625
Sn  0.750  0.875  0.125
Sn  0.875  0.125  0.750
Sn  0.875  0.250  0.125
S  0.042  0.220  0.134
S  0.042  0.322  0.908
S  0.086  0.720  0.678
S  0.086  0.866  0.408
S  0.092  0.634  0.414
S  0.092  0.958  0.678
S  0.134  0.042  0.220
S  0.134  0.592  0.914
S  0.178  0.220  0.586
S  0.178  0.458  0.592
S  0.220  0.134  0.042
S  0.220  0.586  0.178
S  0.280  0.322  0.914
S  0.280  0.458  0.366
S  0.322  0.908  0.042
S  0.322  0.914  0.280
S  0.366  0.280  0.458
S  0.366  0.586  0.908
S  0.408  0.086  0.866
S  0.408  0.822  0.542
S  0.414  0.092  0.634
S  0.414  0.822  0.780
S  0.458  0.366  0.280
S  0.458  0.592  0.178
S  0.542  0.408  0.822
S  0.542  0.634  0.720
S  0.586  0.178  0.220
S  0.586  0.908  0.366
S  0.592  0.178  0.458
S  0.592  0.914  0.134
S  0.634  0.414  0.092
S  0.634  0.720  0.542
S  0.678  0.086  0.720
S  0.678  0.092  0.958
S  0.720  0.542  0.634
S  0.720  0.678  0.086
S  0.780  0.414  0.822
S  0.780  0.866  0.958
S  0.822  0.542  0.408
S  0.822  0.780  0.414
S  0.866  0.408  0.086
S  0.866  0.958  0.780
S  0.908  0.042  0.322
S  0.908  0.366  0.586
S  0.914  0.134  0.592
S  0.914  0.280  0.322
S  0.958  0.678  0.092
S  0.958  0.780  0.866

---

# 6
First-principles (PBE-GGA) data for a relaxed structure of CdSnS, as listed in Alexandria via LeMat-Bulk.

Computed properties:
relative energy among the computed polymorphs	157	meV/atom
electronic total energy	-3.176	eV per atom
E_form (uncorrected)	-0.16	eV/atom
mass density	5.9	g cm⁻³
symmetry	P1 (1)
volume	75	Å³/cell

a b c (Å): 3.885 3.886 6.104
angles (deg): 90.37 108.45 119.41
Fractional positions:
Cd  0.000  0.000  0.000
Sn  0.406  0.207  0.613
S  0.869  0.440  0.305

---

# 7
First-principles (PBE-GGA) data for a relaxed structure of CdSnS2, as listed in Alexandria via LeMat-Bulk.

Computed properties:
electronic total energy	-3.469	eV per atom
E_form (uncorrected)	-0.18	eV/atom
mass density	4.5	g cm⁻³
symmetry	R-3m (166)
volume	328	Å³/cell

a b c (Å): 3.646 3.646 28.488
angles (deg): 90.00 90.00 120.00
Fractional positions:
Cd  0.000  0.000  0.000
Cd  0.333  0.667  0.667
Cd  0.667  0.333  0.333
Sn  0.000  0.000  0.500
Sn  0.333  0.667  0.167
Sn  0.667  0.333  0.833
S  0.000  0.000  0.113
S  0.000  0.000  0.887
S  0.333  0.667  0.553
S  0.333  0.667  0.780
S  0.667  0.333  0.220
S  0.667  0.333  0.447

---

# 8
First-principles (PBE-GGA) data for a relaxed structure of CdSnS2, as listed in Alexandria via LeMat-Bulk.

Computed properties:
electronic total energy	-3.373	eV per atom
E_form (uncorrected)	-0.08	eV/atom
mass density	4.7	g cm⁻³
symmetry	R-3m (166)
volume	312	Å³/cell

a b c (Å): 3.907 3.907 23.577
angles (deg): 90.00 90.00 120.00
Fractional positions:
Cd  0.000  0.000  0.000
Cd  0.333  0.667  0.667
Cd  0.667  0.333  0.333
Sn  0.000  0.000  0.500
Sn  0.333  0.667  0.167
Sn  0.667  0.333  0.833
S  0.000  0.000  0.393
S  0.000  0.000  0.607
S  0.333  0.667  0.060
S  0.333  0.667  0.273
S  0.667  0.333  0.727
S  0.667  0.333  0.940

---

# 9
First-principles (PBE-GGA) data for a relaxed structure of CdSn3S, as listed in Alexandria via LeMat-Bulk.

Computed properties:
relative energy among the computed polymorphs	397	meV/atom
electronic total energy	-2.741	eV per atom
E_form (uncorrected)	0.67	eV/atom
mass density	5.1	g cm⁻³
symmetry	Pm-3m (221)
volume	164	Å³/cell

a b c (Å): 5.477 5.477 5.477
angles (deg): 90.00 90.00 90.00
Fractional positions:
Cd  0.000  0.000  0.000
Sn  0.000  0.000  0.500
Sn  0.000  0.500  0.000
Sn  0.500  0.000  0.000
S  0.500  0.500  0.500

---

# 10
First-principles (PBE-GGA) data for a relaxed structure of CdSnS, as listed in Alexandria via LeMat-Bulk.

Computed properties:
relative energy among the computed polymorphs	156	meV/atom
electronic total energy	-3.176	eV per atom
E_form (uncorrected)	-0.16	eV/atom
mass density	6.0	g cm⁻³
symmetry	R3m (160)
volume	219	Å³/cell

a b c (Å): 3.814 3.814 17.401
angles (deg): 90.00 90.00 120.00
Fractional positions:
Cd  0.000  0.000  0.000
Cd  0.333  0.667  0.667
Cd  0.667  0.333  0.333
Sn  0.000  0.000  0.466
Sn  0.333  0.667  0.133
Sn  0.667  0.333  0.799
S  0.000  0.000  0.239
S  0.333  0.667  0.906
S  0.667  0.333  0.572

---

# 11
First-principles (PBE-GGA) data for a relaxed structure of CdSn3S, as listed in Alexandria via LeMat-Bulk.

Computed properties:
relative energy among the computed polymorphs	0	meV/atom
electronic total energy	-3.137	eV per atom
E_form (uncorrected)	0.27	eV/atom
mass density	5.4	g cm⁻³
symmetry	Pm-3m (221)
volume	155	Å³/cell

a b c (Å): 5.366 5.366 5.366
angles (deg): 90.00 90.00 90.00
Fractional positions:
Cd  0.000  0.000  0.000
Sn  0.000  0.500  0.500
Sn  0.500  0.000  0.500
Sn  0.500  0.500  0.000
S  0.500  0.500  0.500

---

# 12
First-principles (PBE-GGA) data for a relaxed structure of CdSnS, as listed in Alexandria via LeMat-Bulk.

Computed properties:
relative energy among the computed polymorphs	130	meV/atom
electronic total energy	-3.203	eV per atom
E_form (uncorrected)	-0.19	eV/atom
mass density	5.4	g cm⁻³
symmetry	Cm (8)
volume	163	Å³/cell

a b c (Å): 6.916 4.015 6.285
angles (deg): 90.00 110.72 90.00
Fractional positions:
Cd  0.000  0.000  0.000
Cd  0.500  0.500  0.000
Sn  0.452  0.000  0.356
Sn  0.952  0.500  0.356
S  0.097  0.500  0.788
S  0.597  0.000  0.788